1.
## Tm5Ni2As (PBE)

Data for a relaxed Tm5Ni2As crystal.

The structure in POSCAR format:
```
Tm5Ni2As
1.0
-3.6391 3.6391 6.6727
3.6391 -3.6391 6.6727
3.6391 3.6391 -6.6727
Tm Ni As
10 4 2
Cartesian
0.0000 0.0000 0.0000 Tm
4.8075 1.1685 -1.9008 Tm
1.1685 2.4706 -1.9008 Tm
4.8075 1.1685 1.9008 Tm
1.1685 2.4706 1.9008 Tm
0.0000 0.0000 6.6727 Tm
2.4706 1.1685 4.7720 Tm
-1.1685 2.4706 4.7720 Tm
2.4706 1.1685 8.5735 Tm
-1.1685 2.4706 8.5735 Tm
2.6902 0.9488 0.0000 Ni
2.6902 -0.9488 6.6727 Ni
0.9488 4.5879 0.0000 Ni
0.9488 2.6902 6.6727 Ni
0.0000 0.0000 3.3364 As
0.0000 0.0000 10.0091 As
```

Properties
As for the space group: I4/mcm. For the energy relative to the elements, the calculation gives -0.613 eV/atom. As for the crystal system: tetragonal. The value obtained for the total energy is -86.9 eV/cell.

=====

2.
## UNi5As2 (PBE)

Data for a relaxed UNi5As2 crystal.

The structure in POSCAR format:
```
UNi5As2
1.0
-1.8742 3.2695 4.6232
1.8742 -3.2695 4.6232
1.8742 3.2695 -4.6232
U Ni As
1 5 2
Cartesian
0.0000 0.0000 0.0000 U
1.8742 2.0343 -1.2511 Ni
1.8742 2.0343 1.2511 Ni
0.0000 3.2695 0.0000 Ni
0.0000 1.2352 3.3722 Ni
0.0000 1.2352 5.8743 Ni
1.8742 0.0000 2.3240 As
0.0000 3.2695 2.2992 As
```

Properties
As for the space group: Immm. For the energy relative to the elements, the calculation gives -0.327 eV/atom. As for the crystal system: orthorhombic. The value obtained for the total energy is -52.1 eV/cell.

=====

3.
## UNiAs (PBE)

Data for a relaxed UNiAs crystal.

The structure in POSCAR format:
```
UNiAs
1.0
3.9065 0.0000 0.0000
0.0000 3.7291 0.0000
-0.9801 0.0000 6.7436
U Ni As
2 2 2
Cartesian
0.4759 0.9323 0.7596 U
2.4505 2.7968 5.9840 U
0.4680 2.7968 3.3234 Ni
2.4584 0.9323 3.4202 Ni
0.5178 0.9323 4.8088 As
2.4086 2.7968 1.9348 As
```

Properties
As for the space group: P2_1/m. For the energy relative to the elements, the calculation gives -0.563 eV/atom. As for the crystal system: monoclinic. The value obtained for the total energy is -46.8 eV/cell.

=====

4.
## U4Ni3As8 (PBE)

Data for a relaxed U4Ni3As8 crystal.

The structure in POSCAR format:
```
U4Ni3As8
1.0
3.9706 0.0000 0.0000
0.0000 3.9706 0.0000
0.0000 0.0000 17.8193
U Ni As
4 3 8
Cartesian
0.0000 1.9853 2.0766 U
0.0000 1.9853 11.2157 U
1.9853 0.0000 6.6036 U
1.9853 0.0000 15.7427 U
0.0000 0.0000 0.0000 Ni
0.0000 0.0000 8.9096 Ni
1.9853 1.9853 8.9096 Ni
0.0000 0.0000 4.3472 As
0.0000 0.0000 13.4721 As
0.0000 1.9853 7.4683 As
0.0000 1.9853 16.5176 As
1.9853 0.0000 1.3017 As
1.9853 0.0000 10.3510 As
1.9853 1.9853 4.3504 As
1.9853 1.9853 13.4689 As
```

Properties
As for the space group: P-4m2. For the energy relative to the elements, the calculation gives -0.623 eV/atom. As for the crystal system: tetragonal. The value obtained for the total energy is -109.0 eV/cell.